No. 1
18
Lattice="5.348 -5.406 0.000 5.348 5.406 0.000 -1.645 0.000 7.571" Properties=species:S:1:pos:R:3 comment="Tb3Sn4Ru2, relaxed, DFT PBE" e_tot_ev_per_atom=-5.83 sg="No. 15" dos_at_fermi_per_ev_fu=5.9 pbc="T T T"
Tb 4.114 3.941 5.678
Tb 3.228 1.641 2.648
Tb 6.645 1.641 1.138
Tb 2.405 -1.641 6.433
Tb 5.823 -1.641 4.923
Tb 4.937 -3.941 1.893
Sn 0.818 0.693 4.598
Sn 2.257 1.589 7.002
Sn 1.640 -0.693 0.813
Sn 3.079 -1.589 3.216
Sn 5.971 1.589 4.355
Sn 7.411 0.693 6.758
Sn 6.794 -1.589 0.569
Sn 8.233 -0.693 2.973
Ru 4.269 3.911 0.678
Ru 5.604 3.911 3.107
Ru 3.447 -3.911 4.464
Ru 4.782 -3.911 6.893

---

No. 2
11
Lattice="6.437 0.000 0.000 0.000 6.437 0.000 0.000 0.000 7.439" Properties=species:S:1:pos:R:3 comment="TbSn8Ru2, relaxed, DFT PBE" e_tot_ev_per_atom=-5.02 sg="No. 123" dos_at_fermi_per_ev_fu=9.3 pbc="T T T"
Tb 0.000 0.000 0.000
Sn 1.645 1.645 2.140
Sn 1.645 1.645 5.299
Sn 1.645 4.791 2.140
Sn 1.645 4.791 5.299
Sn 4.791 1.645 2.140
Sn 4.791 1.645 5.299
Sn 4.791 4.791 2.140
Sn 4.791 4.791 5.299
Ru 0.000 3.218 3.720
Ru 3.218 0.000 3.720

---

No. 3
18
Lattice="6.068 -4.481 0.000 6.068 4.481 0.000 -3.540 0.000 9.120" Properties=species:S:1:pos:R:3 comment="Tb5SnRu3, relaxed, DFT PBE" e_tot_ev_per_atom=-6.32 sg="No. 12" dos_at_fermi_per_ev_fu=4.0 pbc="T T T"
Tb -0.734 0.000 3.185
Tb 2.702 1.729 3.210
Tb 6.068 2.658 0.000
Tb -0.149 0.000 8.677
Tb 5.893 1.729 5.910
Tb 2.702 -1.729 3.210
Tb 8.744 0.000 0.443
Tb 6.068 -2.658 0.000
Tb 5.893 -1.729 5.910
Tb 9.329 0.000 5.935
Sn 2.565 0.000 6.482
Sn 6.030 0.000 2.638
Ru 1.389 0.000 1.509
Ru -0.054 0.000 5.833
Ru 6.068 0.000 0.000
Ru 4.298 0.000 4.560
Ru 8.650 0.000 3.287
Ru 7.207 0.000 7.612

---

No. 4
4
Lattice="0.000 3.602 3.602 3.602 0.000 3.602 3.602 3.602 0.000" Properties=species:S:1:pos:R:3 comment="Tb2SnRu, relaxed, DFT PBE" e_tot_ev_per_atom=-6.03 sg="No. 225" dos_at_fermi_per_ev_fu=2.6 pbc="T T T"
Tb 1.801 1.801 1.801
Tb 5.403 5.403 5.403
Sn 0.000 0.000 0.000
Ru 3.602 3.602 3.602

---

No. 5
11
Lattice="9.615 -2.510 0.000 9.615 2.510 0.000 -1.805 0.000 6.456" Properties=species:S:1:pos:R:3 comment="Tb8Sn2Ru, relaxed, DFT PBE" e_tot_ev_per_atom=-5.31 sg="No. 12" dos_at_fermi_per_ev_fu=9.2 pbc="T T T"
Tb -0.163 0.000 1.846
Tb 2.695 0.000 5.282
Tb 5.927 0.000 3.252
Tb 7.827 0.000 0.264
Tb 9.598 0.000 6.192
Tb 11.498 0.000 3.204
Tb 14.730 0.000 1.174
Tb 17.588 0.000 4.609
Sn 3.022 0.000 1.633
Sn 14.403 0.000 4.822
Ru 8.712 0.000 3.228

---

No. 6
12
Lattice="6.476 0.000 0.000 -3.238 5.608 0.000 0.000 0.000 7.009" Properties=species:S:1:pos:R:3 comment="TbSn3Ru2, relaxed, DFT PBE" e_tot_ev_per_atom=-6.03 sg="No. 164" dos_at_fermi_per_ev_fu=4.6 pbc="T T T"
Tb 0.000 3.739 1.267
Tb 3.238 1.869 5.742
Sn 0.000 1.891 5.494
Sn -1.600 4.663 5.494
Sn 1.638 0.946 1.515
Sn 1.600 4.663 5.494
Sn 4.838 0.946 1.515
Sn 3.238 3.717 1.515
Ru 0.000 0.000 3.505
Ru -1.619 2.804 3.505
Ru 3.238 0.000 3.505
Ru 1.619 2.804 3.505

---

No. 7
8
Lattice="4.437 0.000 0.000 0.000 4.437 0.000 0.000 0.000 10.055" Properties=species:S:1:pos:R:3 comment="TbTmSn4Ru2, relaxed, DFT PBE" e_tot_ev_per_atom=-5.71 sg="No. 123" dos_at_fermi_per_ev_fu=6.2 pbc="T T T"
Tb 0.000 0.000 0.000
Tm 0.000 0.000 5.027
Sn 0.000 2.219 2.738
Sn 0.000 2.219 7.316
Sn 2.219 0.000 2.738
Sn 2.219 0.000 7.316
Ru 2.219 2.219 1.158
Ru 2.219 2.219 8.897

---

No. 8
4
Lattice="0.000 3.570 3.570 3.570 0.000 3.570 3.570 3.570 0.000" Properties=species:S:1:pos:R:3 comment="TbTmSnRu, relaxed, DFT PBE" e_tot_ev_per_atom=-6.01 sg="No. 216" dos_at_fermi_per_ev_fu=2.5 pbc="T T T"
Tb 0.000 0.000 0.000
Tm 3.570 3.570 3.570
Sn 5.355 5.355 5.355
Ru 1.785 1.785 1.785

---

No. 9
4
Lattice="0.000 3.597 3.597 3.597 0.000 3.597 3.597 3.597 0.000" Properties=species:S:1:pos:R:3 comment="TbYSnRu, relaxed, DFT PBE" e_tot_ev_per_atom=-6.50 sg="No. 216" dos_at_fermi_per_ev_fu=2.5 pbc="T T T"
Tb 0.000 0.000 0.000
Y 3.597 3.597 3.597
Sn 5.396 5.396 5.396
Ru 1.799 1.799 1.799

---

No. 10
4
Lattice="0.000 3.165 3.165 3.165 0.000 3.165 3.165 3.165 0.000" Properties=species:S:1:pos:R:3 comment="TiTcSnRu, relaxed, DFT PBE" e_tot_ev_per_atom=-8.28 sg="No. 216" dos_at_fermi_per_ev_fu=3.2 pbc="T T T"
Ti 0.000 0.000 0.000
Tc 4.748 4.748 4.748
Sn 3.165 3.165 3.165
Ru 1.583 1.583 1.583

---

No. 11
5
Lattice="5.187 0.000 0.000 0.000 5.187 0.000 0.000 0.000 4.725" Properties=species:S:1:pos:R:3 comment="TlTcSn2Ru, relaxed, DFT PBE" e_tot_ev_per_atom=-5.33 sg="No. 123" dos_at_fermi_per_ev_fu=4.1 pbc="T T T"
Tl 0.000 0.000 0.000
Tc 2.593 2.593 2.362
Sn 0.000 2.593 2.362
Sn 2.593 0.000 2.362
Ru 2.593 2.593 0.000

---

No. 12
5
Lattice="5.153 0.000 0.000 0.000 5.153 0.000 0.000 0.000 4.900" Properties=species:S:1:pos:R:3 comment="TlTcSn2Ru, relaxed, DFT PBE" e_tot_ev_per_atom=-5.29 sg="No. 123" dos_at_fermi_per_ev_fu=5.4 pbc="T T T"
Tl 0.000 0.000 0.000
Tc 2.577 2.577 0.000
Sn 0.000 2.577 2.450
Sn 2.577 0.000 2.450
Ru 2.577 2.577 2.450

---

No. 13
4
Lattice="0.000 3.174 3.174 3.174 0.000 3.174 3.174 3.174 0.000" Properties=species:S:1:pos:R:3 comment="TcSnRuW, relaxed, DFT PBE" e_tot_ev_per_atom=-9.04 sg="No. 216" dos_at_fermi_per_ev_fu=3.7 pbc="T T T"
Tc 0.000 0.000 0.000
Sn 1.587 1.587 1.587
Ru 3.174 3.174 3.174
W 4.761 4.761 4.761

---

No. 14
5
Lattice="5.634 0.000 0.000 0.000 5.634 0.000 0.000 0.000 5.634" Properties=species:S:1:pos:R:3 comment="SnTe3Ru, relaxed, DFT PBE" e_tot_ev_per_atom=-3.25 sg="No. 221" dos_at_fermi_per_ev_fu=8.7 pbc="T T T"
Sn 0.000 0.000 0.000
Te 0.000 0.000 2.817
Te 0.000 2.817 0.000
Te 2.817 0.000 0.000
Ru 2.817 2.817 2.817

---

No. 15
4
Lattice="0.000 3.284 3.284 3.284 0.000 3.284 3.284 3.284 0.000" Properties=species:S:1:pos:R:3 comment="SnTeRu2, relaxed, DFT PBE" e_tot_ev_per_atom=-6.20 sg="No. 225" dos_at_fermi_per_ev_fu=3.5 pbc="T T T"
Sn 0.000 0.000 0.000
Te 3.284 3.284 3.284
Ru 1.642 1.642 1.642
Ru 4.925 4.925 4.925

---

No. 16
12
Lattice="6.476 0.000 0.000 0.000 6.793 0.000 -3.204 0.000 6.060" Properties=species:S:1:pos:R:3 comment="SnTeRu, relaxed, DFT PBE" e_tot_ev_per_atom=-5.71 sg="No. 14" dos_at_fermi_per_ev_fu=0.1 pbc="T T T"
Sn 0.016 1.117 1.812
Sn -1.586 2.280 4.842
Sn 4.858 4.513 1.218
Sn 3.256 5.676 4.248
Te 1.640 4.267 1.057
Te 0.038 5.922 4.087
Te 3.234 0.870 1.973
Te 1.632 2.526 5.003
Ru 0.089 3.451 3.053
Ru 1.690 6.738 0.023
Ru 1.582 0.055 6.037
Ru 3.184 3.342 3.007

---

No. 17
5
Lattice="5.753 0.000 0.000 0.000 5.753 0.000 0.000 0.000 5.753" Properties=species:S:1:pos:R:3 comment="Sn3TeRu, relaxed, DFT PBE" e_tot_ev_per_atom=-3.42 sg="No. 221" dos_at_fermi_per_ev_fu=5.8 pbc="T T T"
Sn 0.000 0.000 2.877
Sn 0.000 2.877 0.000
Sn 2.877 0.000 0.000
Te 0.000 0.000 0.000
Ru 2.877 2.877 2.877

---

No. 18
5
Lattice="5.157 0.000 0.000 0.000 5.157 0.000 0.000 0.000 5.157" Properties=species:S:1:pos:R:3 comment="Sn3TeRu, relaxed, DFT PBE" e_tot_ev_per_atom=-5.01 sg="No. 221" dos_at_fermi_per_ev_fu=0.7 pbc="T T T"
Sn 0.000 0.000 2.579
Sn 0.000 2.579 0.000
Sn 2.579 0.000 0.000
Te 2.579 2.579 2.579
Ru 0.000 0.000 0.000

---

No. 19
8
Lattice="-2.984 2.984 5.837 2.984 -2.984 5.837 2.984 2.984 -5.837" Properties=species:S:1:pos:R:3 comment="SnTeRu2, relaxed, DFT PBE" e_tot_ev_per_atom=-5.88 sg="No. 122" dos_at_fermi_per_ev_fu=3.1 pbc="T T T"
Sn 0.000 0.000 0.000
Sn 0.000 2.984 2.919
Te 2.984 0.000 2.919
Te 0.000 0.000 5.837
Ru 1.492 -1.435 4.378
Ru 1.549 1.492 1.459
Ru 1.492 4.419 -1.459
Ru 1.435 1.492 7.297

---

No. 20
5
Lattice="5.248 0.000 0.000 0.000 5.248 0.000 0.000 0.000 5.248" Properties=species:S:1:pos:R:3 comment="SnTe3Ru, relaxed, DFT PBE" e_tot_ev_per_atom=-4.18 sg="No. 221" dos_at_fermi_per_ev_fu=7.8 pbc="T T T"
Sn 0.000 0.000 0.000
Te 0.000 2.624 2.624
Te 2.624 0.000 2.624
Te 2.624 2.624 0.000
Ru 2.624 2.624 2.624

---

No. 21
24
Lattice="7.124 -10.663 0.000 7.124 10.663 0.000 0.000 0.000 4.172" Properties=species:S:1:pos:R:3 comment="Th11Sn9Ru4, relaxed, DFT PBE" e_tot_ev_per_atom=-7.01 sg="No. 65" dos_at_fermi_per_ev_fu=23.9 pbc="T T T"
Th 0.000 0.000 0.000
Th 3.509 3.578 0.000
Th 7.124 7.146 0.000
Th 4.391 0.000 0.000
Th 7.124 2.717 0.000
Th 3.509 -3.578 0.000
Th 10.740 3.578 0.000
Th 7.124 -2.717 0.000
Th 9.858 0.000 0.000
Th 7.124 -7.146 0.000
Th 10.740 -3.578 0.000
Sn 2.029 1.567 2.086
Sn 5.574 5.052 2.086
Sn 2.029 -1.567 2.086
Sn 8.675 5.052 2.086
Sn 7.124 0.000 2.086
Sn 5.574 -5.052 2.086
Sn 12.220 1.567 2.086
Sn 8.675 -5.052 2.086
Sn 12.220 -1.567 2.086
Ru 4.902 2.180 2.086
Ru 4.902 -2.180 2.086
Ru 9.347 2.180 2.086
Ru 9.347 -2.180 2.086

---

No. 22
24
Lattice="12.786 0.000 0.000 0.000 4.447 0.000 0.000 0.000 11.936" Properties=species:S:1:pos:R:3 comment="Th3Sn2Ru, relaxed, DFT PBE" e_tot_ev_per_atom=-7.13 sg="No. 62" dos_at_fermi_per_ev_fu=6.4 pbc="T T T"
Th 0.683 1.112 1.520
Th 1.571 3.335 6.514
Th 3.090 1.112 9.400
Th 3.303 3.335 3.431
Th 4.822 1.112 0.545
Th 5.710 3.335 7.488
Th 7.076 1.112 4.448
Th 7.965 3.335 11.391
Th 9.483 1.112 8.505
Th 9.696 3.335 2.537
Th 11.215 1.112 5.423
Th 12.104 3.335 10.416
Sn 0.022 1.112 8.266
Sn 2.406 3.335 11.871
Sn 3.987 1.112 5.903
Sn 6.371 3.335 2.298
Sn 6.415 1.112 9.638
Sn 8.799 3.335 6.034
Sn 10.380 1.112 0.066
Sn 12.765 3.335 3.670
Ru 1.613 1.112 4.360
Ru 4.780 3.335 10.329
Ru 8.007 1.112 1.608
Ru 11.173 3.335 7.576

---

No. 23
4
Lattice="0.000 3.400 3.400 3.400 0.000 3.400 3.400 3.400 0.000" Properties=species:S:1:pos:R:3 comment="ThSnRu2, relaxed, DFT PBE" e_tot_ev_per_atom=-7.90 sg="No. 225" dos_at_fermi_per_ev_fu=0.9 pbc="T T T"
Th 0.000 0.000 0.000
Sn 3.400 3.400 3.400
Ru 1.700 1.700 1.700
Ru 5.100 5.100 5.100